MnRuN2O: optimized geometry, PBE with a Hubbard U.

## Properties
ρ ... 6.63 Mg/m³
Density of states at the Fermi level ... 4.778 states/eV/f.u.
Calculated total energy ... -31.769 eV per cell

Unit cell a=3.7182 b=3.7182 c=3.6259 alpha=90.00 beta=90.00 gamma=90.00
Closest atoms and distances in Å follow each position.
Sites, in units of the cell vectors:
Mn: 0.0000 0.0000 0.0000  2 O 1.81, 4 N 1.86
Ru: 0.5000 0.5000 0.5000  8 N 2.60, 4 O 2.63
N: 0.0000 0.5000 0.0000  2 Mn 1.86
N: 0.5000 0.0000 0.0000  2 Mn 1.86
O: 0.0000 0.0000 0.5000  2 Mn 1.81